Entry 1:
VASP calculation (PBE) on a relaxed ZnFeCo2 crystal.

As for the crystal system: trigonal. Its energy relative to the elements is 0.04 eV per atom. The value obtained for the calculated total energy is -5.949 eV per atom.

Lattice parameters (Å, degrees): 2.5513 2.5513 25.1591 90.00 90.00 120.00
Space group R3m (No. 160, hexagonal axes)
Asymmetric unit:
Zn 0.0000 0.0000 0.0000 (multiplicity 3)
Fe 0.0000 0.0000 0.2453 (multiplicity 3)
Co 0.0000 0.0000 0.4968 (multiplicity 3)
Co 0.0000 0.0000 0.7524 (multiplicity 3)

***

Entry 2:
VASP calculation (PBE) on a relaxed ZnFe6Co3 crystal.

As for the crystal system: monoclinic. Its energy relative to the elements is 0.08 eV per atom. The value obtained for the calculated total energy is -7.252 eV per atom.

Lattice parameters (Å, degrees): 4.988 3.577 12.624 90.00 90.63 90.00
Space group P2_1/m (No. 11)
Asymmetric unit:
Zn 0.128 0.250 0.446 (multiplicity 2)
Fe 0.123 0.250 0.856 (multiplicity 2)
Fe 0.132 0.250 0.244 (multiplicity 2)
Fe 0.132 0.250 0.657 (multiplicity 2)
Fe 0.372 0.750 0.953 (multiplicity 2)
Fe 0.375 0.750 0.146 (multiplicity 2)
Fe 0.379 0.750 0.554 (multiplicity 2)
Co 0.126 0.250 0.050 (multiplicity 2)
Co 0.372 0.750 0.756 (multiplicity 2)
Co 0.374 0.750 0.344 (multiplicity 2)

***

Entry 3:
VASP calculation (PBE) on a relaxed ZnFe3Co crystal.

As for the crystal system: orthorhombic. Its energy relative to the elements is 0.29 eV per atom. Its polymorph energy (0 for the lowest one) is 0.00 kJ per mole of atoms. The value obtained for the calculated total energy is -6.463 eV per atom.

Lattice parameters (Å, degrees): 4.291 9.759 6.290 90.00 90.00 90.00
Space group Imma (No. 74)
Asymmetric unit:
Zn 0.000 0.000 0.000 (multiplicity 4)
Fe 0.000 0.106 0.374 (multiplicity 8)
Fe 0.000 0.250 0.069 (multiplicity 4)
Co 0.000 0.250 0.669 (multiplicity 4)

***

Entry 4:
VASP calculation (PBE) on a relaxed ZnFe2Co6 crystal.

As for the crystal system: orthorhombic. Its energy relative to the elements is 0.32 eV per atom. The value obtained for the calculated total energy is -6.435 eV per atom.

Lattice parameters (Å, degrees): 4.056 4.835 11.473 90.00 90.00 90.00
Space group Immm (No. 71)
Asymmetric unit:
Zn 0.000 0.000 0.000 (multiplicity 2)
Fe 0.000 0.500 0.108 (multiplicity 4)
Co 0.000 0.237 0.500 (multiplicity 4)
Co 0.000 0.254 0.299 (multiplicity 8)

***

Entry 5:
VASP calculation (PBE) on a relaxed ZnFe3Co crystal.

As for the crystal system: cubic. Its energy relative to the elements is 1.40 eV per atom. Its polymorph energy (0 for the lowest one) is 106.70 kJ per mole of atoms. The value obtained for the calculated total energy is -5.357 eV per atom.

Lattice parameters (Å, degrees): 4.350 4.350 4.350 90.00 90.00 90.00
Space group Pm-3m (No. 221)
Asymmetric unit:
Zn 0.000 0.000 0.000 (multiplicity 1)
Fe 0.000 0.000 0.500 (multiplicity 3)
Co 0.500 0.500 0.500 (multiplicity 1)

***

Entry 6:
VASP calculation (PBE) on a relaxed Zn2Fe2Co crystal.

As for the crystal system: tetragonal. Its energy relative to the elements is 0.29 eV per atom. Its polymorph energy (0 for the lowest one) is 0.28 kJ per mole of atoms. The value obtained for the calculated total energy is -5.024 eV per atom.

Lattice parameters (Å, degrees): 6.457 6.457 3.127 90.00 90.00 90.00
Space group P4/mbm (No. 127)
Asymmetric unit:
Zn 0.134 0.366 0.000 (multiplicity 4)
Fe 0.167 0.667 0.500 (multiplicity 4)
Co 0.000 0.000 0.000 (multiplicity 2)

***

Entry 7:
VASP calculation (PBE) on a relaxed ZnFeCo2 crystal.

As for the crystal system: tetragonal. Its energy relative to the elements is 0.01 eV per atom. The value obtained for the calculated total energy is -5.981 eV per atom.

Lattice parameters (Å, degrees): 2.567 2.567 7.154 90.00 90.00 90.00
Space group P4mm (No. 99)
Asymmetric unit:
Zn 0.000 0.000 0.000 (multiplicity 1)
Fe 0.500 0.500 0.730 (multiplicity 1)
Co 0.000 0.000 0.482 (multiplicity 1)
Co 0.500 0.500 0.259 (multiplicity 1)

***

Entry 8:
VASP calculation (PBE) on a relaxed ZnFeCo6 crystal.

As for the crystal system: hexagonal. Its energy relative to the elements is 0.04 eV per atom. The value obtained for the calculated total energy is -6.507 eV per atom.

Lattice parameters (Å, degrees): 5.0428 5.0428 4.0995 90.00 90.00 120.00
Space group P-6m2 (No. 187)
Asymmetric unit:
Zn 0.0000 0.0000 0.0000 (multiplicity 1)
Fe 0.3333 0.6667 0.5000 (multiplicity 1)
Co 0.3362 0.1681 0.5000 (multiplicity 3)
Co 0.5014 0.0028 0.0000 (multiplicity 3)

***

Entry 9:
VASP calculation (PBE) on a relaxed Zn4FeCo crystal.

As for the crystal system: cubic. Its energy relative to the elements is 0.19 eV per atom. The value obtained for the calculated total energy is -3.250 eV per atom.

Lattice parameters (Å, degrees): 6.872 6.872 6.872 90.00 90.00 90.00
Space group F-43m (No. 216)
Asymmetric unit:
Zn 0.125 0.125 0.125 (multiplicity 16)
Fe 0.000 0.000 0.500 (multiplicity 4)
Co 0.250 0.250 0.750 (multiplicity 4)

***

Entry 10:
VASP calculation (PBE) on a relaxed ZnFe8Co6 crystal.

As for the crystal system: trigonal. Its energy relative to the elements is 0.25 eV per atom. The value obtained for the calculated total energy is -7.192 eV per atom.

Lattice parameters (Å, degrees): 9.1347 9.1347 2.5406 90.00 90.00 120.00
Space group P-3 (No. 147)
Asymmetric unit:
Zn 0.0000 0.0000 0.0000 (multiplicity 1)
Fe 0.0899 0.7892 0.6702 (multiplicity 6)
Fe 0.3333 0.6667 0.2762 (multiplicity 2)
Co 0.0940 0.4763 0.7794 (multiplicity 6)

***

Entry 11:
VASP calculation (PBE) on a relaxed ZnFeCo2 crystal.

As for the crystal system: monoclinic. Its energy relative to the elements is 0.03 eV per atom. The value obtained for the calculated total energy is -5.961 eV per atom.

Lattice parameters (Å, degrees): 2.494 3.966 4.868 90.00 100.76 90.00
Space group P2/m (No. 10)
Asymmetric unit:
Zn 0.000 0.000 0.000 (multiplicity 1)
Fe 0.500 0.000 0.500 (multiplicity 1)
Co 0.291 0.500 0.744 (multiplicity 2)

***

Entry 12:
VASP calculation (PBE) on a relaxed ZnFeCo2 crystal.

As for the crystal system: monoclinic. Its energy relative to the elements is 0.06 eV per atom. The value obtained for the calculated total energy is -5.928 eV per atom.

Lattice parameters (Å, degrees): 5.030 8.185 2.496 90.00 113.07 90.00
Space group C2/m (No. 12)
Asymmetric unit:
Zn 0.000 0.000 0.000 (multiplicity 2)
Fe 0.000 0.500 0.000 (multiplicity 2)
Co 0.250 0.250 0.500 (multiplicity 4)